Record 1
Below is a geometry-optimized CsZr2Ti structure, with properties calculated at the PBE-GGA level.

Output
D(E_F): 1.37 states/eV/atom
Uncorrected energy: -4.92 eV/atom
E_form: 1536 meV per atom

```
data_CsZr2Ti
_space_group_name_H-M_alt 'I 41/a m d'
_space_group_IT_number 141
_cell_length_a 7.762
_cell_length_b 7.762
_cell_length_c 11.762
_cell_angle_alpha 90.00
_cell_angle_beta 90.00
_cell_angle_gamma 90.00
loop_
_space_group_symop_operation_xyz
'x,y,z'
'-x,-y,-z'
'-y+1/4,x+3/4,z+1/4'
'y+1/4,-x+3/4,-z+1/4'
'-x+1/2,-y,z+1/2'
'x+1/2,y,-z+1/2'
'y+1/4,-x+1/4,z+3/4'
'-y+1/4,x+1/4,-z+3/4'
'x,-y,-z'
'-x,y,z'
'-y+1/4,-x+1/4,-z+3/4'
'y+1/4,x+1/4,z+3/4'
'-x+1/2,y,-z+1/2'
'x+1/2,-y,z+1/2'
'y+1/4,x+3/4,-z+1/4'
'-y+1/4,-x+3/4,z+1/4'
'x+1/2,y+1/2,z+1/2'
'-x+1/2,-y+1/2,-z+1/2'
'-y+3/4,x+1/4,z+3/4'
'y+3/4,-x+1/4,-z+3/4'
'-x,-y+1/2,z'
'x,y+1/2,-z'
'y+3/4,-x+3/4,z+1/4'
'-y+3/4,x+3/4,-z+1/4'
'x+1/2,-y+1/2,-z+1/2'
'-x+1/2,y+1/2,z+1/2'
'-y+3/4,-x+3/4,-z+1/4'
'y+3/4,x+3/4,z+1/4'
'-x,y+1/2,-z'
'x,-y+1/2,z'
'y+3/4,x+1/4,-z+3/4'
'-y+3/4,-x+1/4,z+3/4'
loop_
_atom_site_label
_atom_site_fract_x
_atom_site_fract_y
_atom_site_fract_z
Cs1 0.000 0.250 0.375
Zr1 0.000 0.000 0.000
Ti1 0.000 0.250 0.875
```

Record 2
Below is a geometry-optimized K2CuTe structure, with properties calculated at the PBE-GGA level.

Output
D(E_F): 0.72 states/eV/atom
Uncorrected energy: -2.51 eV/atom

```
data_K2CuTe
_space_group_name_H-M_alt 'I -4 m 2'
_space_group_IT_number 119
_space_group_name_Hall 'I -4 -2'
_cell_length_a 5.037
_cell_length_b 5.037
_cell_length_c 9.938
_cell_angle_alpha 90.00
_cell_angle_beta 90.00
_cell_angle_gamma 90.00
loop_
_atom_site_label
_atom_site_fract_x
_atom_site_fract_y
_atom_site_fract_z
K1 0.000 0.000 0.000
K2 0.000 0.500 0.250
Cu1 0.000 0.000 0.500
Te1 0.000 0.500 0.750
```

Record 3
Below is a geometry-optimized MnZnCo2 structure, with properties calculated at the PBE-GGA level.

Output
D(E_F): 1.17 states/eV/atom
Uncorrected energy: -6.09 eV/atom
E_form: 72 meV per atom

```
data_MnZnCo2
_space_group_name_H-M_alt 'R 3 m'
_space_group_IT_number 160
_space_group_name_Hall 'R 3 -2"'
_cell_length_a 2.5337
_cell_length_b 2.5337
_cell_length_c 24.4886
_cell_angle_alpha 90.00
_cell_angle_beta 90.00
_cell_angle_gamma 120.00
loop_
_atom_site_label
_atom_site_fract_x
_atom_site_fract_y
_atom_site_fract_z
Mn1 0.0000 0.0000 0.0000
Zn1 0.0000 0.0000 0.1667
Co1 0.0000 0.0000 0.4124
Co2 0.0000 0.0000 0.5876
```

Record 4
Below is a geometry-optimized Pm2Er3Sc3 structure, with properties calculated at the PBE-GGA level.

Output
Relative energy among the computed polymorphs: 0.000 eV/atom
D(E_F): 1.67 states/eV/atom
Uncorrected energy: -5.22 eV/atom
E_form: 55 meV per atom

```
data_Pm2Er3Sc3
_space_group_name_H-M_alt 'I m m m'
_space_group_IT_number 71
_space_group_name_Hall '-I 2 2'
_cell_length_a 4.853
_cell_length_b 4.921
_cell_length_c 19.486
_cell_angle_alpha 90.00
_cell_angle_beta 90.00
_cell_angle_gamma 90.00
loop_
_atom_site_label
_atom_site_fract_x
_atom_site_fract_y
_atom_site_fract_z
Pm1 0.000 0.000 0.249
Er1 0.000 0.000 0.000
Er2 0.000 0.500 0.120
Sc1 0.000 0.000 0.500
Sc2 0.000 0.500 0.379
```

Record 5
Below is a geometry-optimized AcCuAg2Se4 structure, with properties calculated at the PBE-GGA level.

Output
D(E_F): 0.56 states/eV/atom
Uncorrected energy: -4.08 eV/atom

```
data_AcCuAg2Se4
_space_group_name_H-M_alt 'C m c m'
_space_group_IT_number 63
_space_group_name_Hall '-C 2c 2'
_cell_length_a 4.258
_cell_length_b 14.018
_cell_length_c 13.035
_cell_angle_alpha 90.00
_cell_angle_beta 90.00
_cell_angle_gamma 90.00
loop_
_atom_site_label
_atom_site_fract_x
_atom_site_fract_y
_atom_site_fract_z
Ac1 0.000 0.093 0.250
Cu1 0.000 0.164 0.750
Ag1 0.000 0.379 0.053
Se1 0.000 0.000 0.000
Se2 0.000 0.294 0.624
Se3 0.000 0.426 0.250
```

Record 6
Below is a geometry-optimized PrTmNiOs structure, with properties calculated at the PBE-GGA level.

Output
D(E_F): 0.62 states/eV/atom
Uncorrected energy: -6.73 eV/atom
E_form: -163 meV per atom

```
data_PrTmNiOs
_space_group_name_H-M_alt 'F -4 3 m'
_space_group_IT_number 216
_space_group_name_Hall 'F -4 2 3'
_cell_length_a 6.894
_cell_length_b 6.894
_cell_length_c 6.894
_cell_angle_alpha 90.00
_cell_angle_beta 90.00
_cell_angle_gamma 90.00
loop_
_atom_site_label
_atom_site_fract_x
_atom_site_fract_y
_atom_site_fract_z
Pr1 0.000 0.000 0.000
Tm1 0.000 0.000 0.500
Ni1 0.250 0.250 0.250
Os1 0.250 0.250 0.750
```

Record 7
Below is a geometry-optimized Pu2TiNb structure, with properties calculated at the PBE-GGA level.

Output
Relative energy among the computed polymorphs: 0.003 eV/atom
D(E_F): 3.01 states/eV/atom
Uncorrected energy: -11.32 eV/atom
E_form: 335 meV per atom

```
data_Pu2TiNb
_space_group_name_H-M_alt 'P 4/m m m'
_space_group_IT_number 123
_space_group_name_Hall '-P 4 2'
_cell_length_a 3.656
_cell_length_b 3.656
_cell_length_c 6.277
_cell_angle_alpha 90.00
_cell_angle_beta 90.00
_cell_angle_gamma 90.00
loop_
_atom_site_label
_atom_site_fract_x
_atom_site_fract_y
_atom_site_fract_z
Pu1 0.000 0.000 0.249
Ti1 0.500 0.500 0.000
Nb1 0.500 0.500 0.500
```

Record 8
Below is a geometry-optimized BaP2Pb structure, with properties calculated at the PBE-GGA level.

Output
D(E_F): 0.60 states/eV/atom
Uncorrected energy: -3.90 eV/atom
E_form: 217 meV per atom

```
data_BaP2Pb
_space_group_name_H-M_alt 'F -4 3 m'
_space_group_IT_number 216
_space_group_name_Hall 'F -4 2 3'
_cell_length_a 7.526
_cell_length_b 7.526
_cell_length_c 7.526
_cell_angle_alpha 90.00
_cell_angle_beta 90.00
_cell_angle_gamma 90.00
loop_
_atom_site_label
_atom_site_fract_x
_atom_site_fract_y
_atom_site_fract_z
Ba1 0.000 0.000 0.000
P1 0.000 0.000 0.500
P2 0.250 0.250 0.750
Pb1 0.250 0.250 0.250
```

- Among the records above, which one has the lowest uncorrected energy?
  Pu2TiNb

What did the fifth record say?
Below is a geometry-optimized AcCuAg2Se4 structure, with properties calculated at the PBE-GGA level.

Output
D(E_F): 0.56 states/eV/atom
Uncorrected energy: -4.08 eV/atom

```
data_AcCuAg2Se4
_space_group_name_H-M_alt 'C m c m'
_space_group_IT_number 63
_space_group_name_Hall '-C 2c 2'
_cell_length_a 4.258
_cell_length_b 14.018
_cell_length_c 13.035
_cell_angle_alpha 90.00
_cell_angle_beta 90.00
_cell_angle_gamma 90.00
loop_
_atom_site_label
_atom_site_fract_x
_atom_site_fract_y
_atom_site_fract_z
Ac1 0.000 0.093 0.250
Cu1 0.000 0.164 0.750
Ag1 0.000 0.379 0.053
Se1 0.000 0.000 0.000
Se2 0.000 0.294 0.624
Se3 0.000 0.426 0.250
```

- Look up the uncorrected energy of the fifth one.
  -4.08 eV/atom

- D(E_F) of number 1 (CsZr2Ti)?
  1.37 states/eV/atom